1.
# meta-GGA SCAN La3Ag4Sn4, single point on PBEsol structure
data_La3Ag4Sn4
_chemical_formula_sum 'La6 Ag8 Sn8'
_symmetry_space_group_name_H-M 'I m m m'
_symmetry_Int_Tables_number 71
_symmetry_space_group_name_Hall '-I 2 2'
_cell_length_a 4.6925
_cell_length_b 7.3183
_cell_length_c 15.5317
_cell_angle_alpha 90.00
_cell_angle_beta 90.00
_cell_angle_gamma 90.00
loop_
_atom_site_label
_atom_site_fract_x
_atom_site_fract_y
_atom_site_fract_z
La1 0.0000 0.0000 0.0000
La2 0.0000 0.5000 0.1310
Ag1 0.0000 0.3077 0.3312
Sn1 0.0000 0.0000 0.2163
Sn2 0.0000 0.1937 0.5000
# - Magnetization: 0.0 μB/cell
# - Final energy: -1.3565 hartree per atom
# - Calculated volume: 24.245 A^3/atom
# - ΔH_f (0 K): -0.6877 eV per atom



2.
# meta-GGA SCAN CoTeC2, single point on PBEsol structure
data_CoTeC2
_chemical_formula_sum 'Co4 Te4 C8'
_symmetry_space_group_name_H-M 'I -4 2 d'
_symmetry_Int_Tables_number 122
_symmetry_space_group_name_Hall 'I -4 2bw'
_cell_length_a 4.7523
_cell_length_b 4.7523
_cell_length_c 9.2966
_cell_angle_alpha 90.00
_cell_angle_beta 90.00
_cell_angle_gamma 90.00
loop_
_atom_site_label
_atom_site_fract_x
_atom_site_fract_y
_atom_site_fract_z
Co1 0.0000 0.0000 0.0000
Te1 0.0000 0.0000 0.5000
C1 0.1732 0.2500 0.1250
# - Magnetization: 0.0 μB/cell
# - Final energy: -0.6388 hartree per atom
# - ΔE_f (raw): 5.2 eV/f.u.
# - Calculated volume: 13.122 A^3/atom



3.
# meta-GGA SCAN Mg2MnSi, single point on PBEsol structure
data_Mg2MnSi
_chemical_formula_sum 'Mg4 Mn2 Si2'
_symmetry_space_group_name_H-M 'I m m 2'
_symmetry_Int_Tables_number 44
_cell_length_a 3.4446
_cell_length_b 4.3223
_cell_length_c 8.6047
_cell_angle_alpha 90.00
_cell_angle_beta 90.00
_cell_angle_gamma 90.00
loop_
_symmetry_equiv_pos_as_xyz
'x,y,z'
'-x,-y,z'
'-x,y,z'
'x,-y,z'
'x+1/2,y+1/2,z+1/2'
'-x+1/2,-y+1/2,z+1/2'
'-x+1/2,y+1/2,z+1/2'
'x+1/2,-y+1/2,z+1/2'
loop_
_atom_site_label
_atom_site_fract_x
_atom_site_fract_y
_atom_site_fract_z
Mg1 0.0000 0.0000 0.0000
Mg2 0.0000 0.5000 0.2224
Mn1 0.0000 0.5000 0.7674
Si1 0.0000 0.0000 0.4567
# - Magnetization: 6.0 μB/cell
# - Final energy: -0.3515 hartree per atom
# - ΔE_f (raw): 0.0 eV/f.u.
# - Calculated volume: 16.014 A^3/atom